Material: Zn3Os
Method: DFT, PBE
State: relaxed

Cell: 4.743 5.194 2.723 Å, 74.80 90.00 117.17°
Atoms (fractional coordinates):
1 Zn 0.583 0.509 0.746
2 Zn 0.501 0.000 0.500
3 Os 0.009 0.000 0.000
4 Zn 0.074 0.491 0.254

Properties
Its crystal system is orthorhombic. The calculation puts the size of the total moment at 0.4 μB per formula unit. The calculated formation energy is 2.53 kcal/mol of atoms. The symmetry is Imm2 (44).

Material: ZrCr2Te4
Method: DFT, PBE
State: relaxed

Cell: 3.981 7.154 7.661 Å, 117.76 105.06 90.00°
Atoms (fractional coordinates):
1 Te 0.871 0.539 0.742
2 Te 0.636 0.962 0.272
3 Cr 0.254 0.271 0.508
4 Te 0.364 0.038 0.728
5 Zr 0.000 0.000 0.000
6 Te 0.129 0.461 0.258
7 Cr 0.746 0.729 0.492

Properties
Its crystal system is monoclinic. The calculation puts the size of the total moment at 7.3 μB per formula unit. The symmetry is C2/m (12). The value obtained for the uncorrected formation energy is -0.412 eV per atom.

Number 1: energy -3.65 eV per atom. Number 2: energy -6.18 eV per atom.